[1]
KLi2Mn: optimized geometry, PBE.

Results
Calculated density in Mg/m³: 1.66
Excess energy over the best structure of this formula in the dataset in eV per atom: 0.138

a = 7.560 Å, b = 7.560 Å, c = 7.560 Å
α = 90.00°, β = 90.00°, γ = 90.00°
Space group Fm-3m (No. 225)
Inequivalent atoms, fractional coordinates:
K  0.000  0.000  0.000 x4
Li  0.250  0.250  0.250 x8
Mn  0.000  0.000  0.500 x4

[2]
AcSn6Rh4: optimized geometry, PBE.

Results
Calculated density in Mg/m³: 9.66
Energy in eV per atom: -5.767

a = 8.0092 Å, b = 8.0092 Å, c = 4.1793 Å
α = 90.00°, β = 90.00°, γ = 120.00°
Space group P-6m2 (No. 187)
Inequivalent atoms, fractional coordinates:
Ac  0.0000  0.0000  0.0000 x1
Sn  0.1950  0.3900  0.5000 x3
Sn  0.5337  0.0674  0.0000 x3
Rh  0.3333  0.6667  0.0000 x1
Rh  0.4100  0.2050  0.5000 x3

[3]
ZrTa2Fe3: optimized geometry, PBE.

Results
Calculated density in Mg/m³: 11.50
Energy in eV per atom: -9.774

a = 3.081 Å, b = 3.081 Å, c = 9.442 Å
α = 90.00°, β = 90.00°, γ = 90.00°
Space group P4/mmm (No. 123)
Inequivalent atoms, fractional coordinates:
Zr  0.000  0.000  0.000 x1
Ta  0.000  0.000  0.337 x2
Fe  0.500  0.500  0.186 x2
Fe  0.500  0.500  0.500 x1

[4]
SrTl2Sn: optimized geometry, PBE.

Results
Calculated density in Mg/m³: 8.18
Excess energy over the best structure of this formula in the dataset in eV per atom: 0.025

a = 7.934 Å, b = 7.934 Å, c = 7.934 Å
α = 90.00°, β = 90.00°, γ = 90.00°
Space group Fm-3m (No. 225)
Inequivalent atoms, fractional coordinates:
Sr  0.000  0.000  0.000 x4
Tl  0.250  0.250  0.250 x8
Sn  0.000  0.000  0.500 x4

[5]
Zr4PaBi3: optimized geometry, PBE.

Results
Calculated density in Mg/m³: 9.90
Energy in eV per atom: -7.062

a = 11.308 Å, b = 6.112 Å, c = 5.934 Å
α = 90.00°, β = 90.00°, γ = 90.00°
Space group Pmn2_1 (No. 31)
Inequivalent atoms, fractional coordinates:
Zr  0.000  0.117  0.000 x2
Zr  0.000  0.638  0.732 x2
Zr  0.248  0.849  0.969 x4
Pa  0.000  0.634  0.203 x2
Bi  0.000  0.161  0.501 x2
Bi  0.242  0.342  0.978 x4

[6]
Ac2AlGa3Ir4: optimized geometry, PBE.

Results
Calculated density in Mg/m³: 12.12
Energy in eV per atom: -6.388

a = 4.361 Å, b = 4.361 Å, c = 10.514 Å
α = 90.00°, β = 90.00°, γ = 90.00°
Space group P-4m2 (No. 115)
Inequivalent atoms, fractional coordinates:
Ac  0.000  0.500  0.240 x2
Al  0.000  0.000  0.500 x1
Ga  0.000  0.500  0.878 x2
Ga  0.500  0.500  0.500 x1
Ir  0.000  0.000  0.000 x1
Ir  0.000  0.500  0.630 x2
Ir  0.500  0.500  0.000 x1

[7]
Rb2Hg2Se: optimized geometry, PBE.

Results
Uncorrected formation energy in meV per atom: -396.4
Calculated density in Mg/m³: 4.90
Excess energy over the best structure of this formula in the dataset in eV per atom: 0.114

a = 6.836 Å, b = 6.836 Å, c = 9.446 Å
α = 90.00°, β = 90.00°, γ = 90.00°
Space group I4/mmm (No. 139)
Inequivalent atoms, fractional coordinates:
Rb  0.000  0.500  0.250 x4
Hg  0.000  0.000  0.175 x4
Se  0.000  0.000  0.500 x2

[8]
Pm2TeAs: optimized geometry, PBE.

Results
Uncorrected formation energy in meV per atom: -1544.0
Calculated density in Mg/m³: 6.99
Excess energy over the best structure of this formula in the dataset in eV per atom: 0.006

a = 4.3081 Å, b = 4.3081 Å, c = 21.8414 Å
α = 90.00°, β = 90.00°, γ = 120.00°
Space group R-3m (No. 166, hexagonal axes)
Inequivalent atoms, fractional coordinates:
Pm  0.0000  0.0000  0.2400 x6
Te  0.0000  0.0000  0.0000 x3
As  0.0000  0.0000  0.5000 x3

[9]
Cs2Ag2PdF6: optimized geometry, PBE.

Results
Uncorrected formation energy in meV per atom: -1696.9
Calculated density in Mg/m³: 4.98

a = 14.295 Å, b = 6.118 Å, c = 5.553 Å
α = 90.00°, β = 105.34°, γ = 90.00°
Space group C2/m (No. 12)
Inequivalent atoms, fractional coordinates:
Cs  0.218  0.000  0.197 x4
Ag  0.039  0.500  0.263 x4
Pd  0.000  0.000  0.500 x2
F  0.081  0.235  0.706 x8
F  0.187  0.500  0.245 x4

[10]
MgTaCl2: optimized geometry, PBE.

Results
Uncorrected formation energy in meV per atom: 275.5
Calculated density in Mg/m³: 6.21
Excess energy over the best structure of this formula in the dataset in eV per atom: 0.840

a = 6.038 Å, b = 8.040 Å, c = 3.041 Å
α = 90.00°, β = 90.00°, γ = 90.00°
Space group Cmmm (No. 65)
Inequivalent atoms, fractional coordinates:
Mg  0.000  0.000  0.000 x2
Ta  0.000  0.500  0.000 x2
Cl  0.250  0.250  0.500 x4

[11]
CsCdGaI2: optimized geometry, PBE.

Results
Uncorrected formation energy in meV per atom: -673.1
Calculated density in Mg/m³: 4.45

a = 6.349 Å, b = 6.349 Å, c = 5.264 Å
α = 90.00°, β = 90.00°, γ = 90.00°
Space group P4/mmm (No. 123)
Inequivalent atoms, fractional coordinates:
Cs  0.000  0.000  0.000 x1
Cd  0.500  0.500  0.000 x1
Ga  0.500  0.500  0.500 x1
I  0.000  0.500  0.500 x2

[12]
LiFeMoIr: optimized geometry, PBE.

Results
Calculated density in Mg/m³: 11.14
Energy in eV per atom: -7.550

a = 5.937 Å, b = 5.937 Å, c = 5.937 Å
α = 90.00°, β = 90.00°, γ = 90.00°
Space group F-43m (No. 216)
Inequivalent atoms, fractional coordinates:
Li  0.000  0.000  0.000 x4
Fe  0.250  0.250  0.250 x4
Mo  0.000  0.000  0.500 x4
Ir  0.250  0.250  0.750 x4